Record 1
Below is a relaxed Pm4NdTm3Se8 crystal, with properties calculated at the PBE level.

The structure in POSCAR format:
```
Pm4NdTm3Se8
1.0
4.105 2.370 6.862
-4.105 2.370 6.862
0.000 -4.740 6.862
Pm Nd Tm Se
4 1 3 8
direct
0.000 0.000 0.000
0.000 0.500 0.500
0.500 0.000 0.500
0.500 0.500 0.000
0.500 0.500 0.500
0.000 0.000 0.500
0.000 0.500 0.000
0.500 0.000 0.000
0.237 0.751 0.751
0.244 0.244 0.244
0.249 0.249 0.763
0.249 0.763 0.249
0.751 0.237 0.751
0.751 0.751 0.237
0.756 0.756 0.756
0.763 0.249 0.249
```

Output
**E**: -0.4287 Ry per atom

---

Record 2
Below is a relaxed Tb4P6Rh7 crystal, with properties calculated at the PBE level.

The structure in POSCAR format:
```
Tb4P6Rh7
1.0
-4.110 4.110 4.110
4.110 -4.110 4.110
4.110 4.110 -4.110
Tb P Rh
4 6 7
direct
0.000 0.000 0.500
0.000 0.500 0.000
0.500 0.000 0.000
0.500 0.500 0.500
0.000 0.325 0.325
0.000 0.675 0.675
0.325 0.000 0.325
0.325 0.325 0.000
0.675 0.000 0.675
0.675 0.675 0.000
0.000 0.000 0.000
0.250 0.500 0.750
0.250 0.750 0.500
0.500 0.250 0.750
0.500 0.750 0.250
0.750 0.250 0.500
0.750 0.500 0.250
```

Output
**E**: -0.5238 Ry per atom

---

Record 3
Below is a relaxed NaEr2Rh crystal, with properties calculated at the PBE level.

The structure in POSCAR format:
```
NaEr2Rh
1.0
3.894 0.000 0.000
-1.947 3.373 0.000
0.000 0.000 30.896
Na Er Rh
3 6 3
direct
0.000 0.000 0.000
0.333 0.667 0.667
0.667 0.333 0.333
0.000 0.000 0.118
0.000 0.000 0.882
0.333 0.667 0.549
0.333 0.667 0.785
0.667 0.333 0.215
0.667 0.333 0.451
0.000 0.000 0.500
0.333 0.667 0.167
0.667 0.333 0.833
```

Output
**Distance to the lowest polymorph of the same formula**: 0.085 eV/atom

---

Record 4
Below is a relaxed ScAl crystal, with properties calculated at the PBE level.

The structure in POSCAR format:
```
ScAl
1.0
3.179 0.000 0.000
0.000 3.179 0.000
0.000 0.000 7.894
Sc Al
2 2
direct
0.250 0.250 0.153
0.750 0.750 0.847
0.250 0.250 0.601
0.750 0.750 0.399
```

Output
**E**: -0.3876 Ry per atom

---

Record 5
Below is a relaxed PmNd3In2 crystal, with properties calculated at the PBE level.

The structure in POSCAR format:
```
PmNd3In2
1.0
5.360 0.000 0.000
0.000 10.148 0.000
0.000 0.000 6.890
Pm Nd In
2 6 4
direct
0.000 0.040 0.000
0.000 0.960 0.500
0.000 0.322 0.661
0.000 0.678 0.161
0.500 0.177 0.275
0.500 0.460 0.935
0.500 0.540 0.435
0.500 0.823 0.775
0.000 0.355 0.181
0.000 0.645 0.681
0.500 0.144 0.755
0.500 0.856 0.255
```

Output
**Distance to the lowest polymorph of the same formula**: 0.000 eV/atom

---

Record 6
Below is a relaxed NiOsCl crystal, with properties calculated at the PBE level.

The structure in POSCAR format:
```
NiOsCl
1.0
2.856 0.000 0.000
0.000 2.856 0.000
0.000 0.000 12.068
Ni Os Cl
2 2 2
direct
0.000 0.000 0.000
0.500 0.500 0.500
0.000 0.000 0.618
0.500 0.500 0.118
0.000 0.000 0.267
0.500 0.500 0.767
```

Output
**Distance to the lowest polymorph of the same formula**: 0.199 eV/atom

---

Record 7
Below is a relaxed KAsRh2 crystal, with properties calculated at the PBE level.

The structure in POSCAR format:
```
KAsRh2
1.0
3.917 0.000 0.000
0.000 3.975 0.000
0.000 0.000 6.099
K As Rh
1 1 2
direct
0.000 0.000 0.000
0.500 0.500 0.310
0.000 0.500 0.532
0.500 0.000 0.527
```

Output
**E**: -0.3809 Ry per atom

---

The calculation returns the following calculated density values, one per record and in order: 7.72, 9.22, 5.65, 3.00, 7.15, 9.59, 5.59 g/cm3.
The calculation returns the following total magnetic moment values, one per record and in order: 0.00, 0.00, 0.00, 0.00, 0.00, 0.89, 0.00 μB per cell.